#i
A relaxed structure of Pm2TmIr. Source: Alexandria via LeMat-Bulk, functional PBE.

Calculated values
- size of the total moment (μB/f.u.) = 1.085
- crystal system = tetragonal

Unit cell a=3.605 b=3.605 c=8.644 alpha=90.00 beta=90.00 gamma=90.00
Fractional coordinates of all 4 atoms:
Pm 0.000 0.000 0.190
Pm 0.000 0.000 0.810
Tm 0.500 0.500 0.500
Ir 0.500 0.500 0.000



#ii
A relaxed structure of Pm2TmIr. Source: Alexandria via LeMat-Bulk, functional PBE.

Calculated values
- size of the total moment (μB/f.u.) = 0.000
- crystal system = orthorhombic

Unit cell a=7.263 b=9.711 c=6.389 alpha=90.00 beta=90.00 gamma=90.00
Fractional coordinates of all 16 atoms:
Pm 0.180 0.065 0.174
Pm 0.180 0.435 0.174
Pm 0.320 0.565 0.674
Pm 0.320 0.935 0.674
Pm 0.680 0.065 0.326
Pm 0.680 0.435 0.326
Pm 0.820 0.565 0.826
Pm 0.820 0.935 0.826
Tm 0.039 0.250 0.646
Tm 0.461 0.750 0.146
Tm 0.539 0.250 0.854
Tm 0.961 0.750 0.354
Ir 0.119 0.750 0.957
Ir 0.381 0.250 0.457
Ir 0.619 0.750 0.543
Ir 0.881 0.250 0.043



Question: which arrangement is favored energetically? Ranking from most to least stable: #ii, #i.



#i
A relaxed structure of Pm2TmIr. Source: Alexandria via LeMat-Bulk, functional PBE.

Calculated values
- size of the total moment (μB/f.u.) = 0.000
- crystal system = orthorhombic

Unit cell a=6.815 b=6.371 c=11.567 alpha=90.00 beta=90.00 gamma=90.00
Fractional coordinates of all 16 atoms:
Pm 0.089 0.248 0.087
Pm 0.089 0.252 0.413
Pm 0.411 0.748 0.413
Pm 0.411 0.752 0.087
Pm 0.589 0.248 0.913
Pm 0.589 0.252 0.587
Pm 0.911 0.748 0.587
Pm 0.911 0.752 0.913
Tm 0.071 0.250 0.750
Tm 0.429 0.750 0.750
Tm 0.571 0.250 0.250
Tm 0.929 0.750 0.250
Ir 0.250 0.000 0.908
Ir 0.250 0.500 0.592
Ir 0.750 0.000 0.092
Ir 0.750 0.500 0.408



#ii
A relaxed structure of Pm2TmIr. Source: Alexandria via LeMat-Bulk, functional PBE.

Calculated values
- size of the total moment (μB/f.u.) = 0.190
- crystal system = trigonal

Unit cell a=10.829 b=10.829 c=10.829 alpha=20.08 beta=20.08 gamma=20.08
Fractional coordinates of all 4 atoms:
Pm 0.111 0.111 0.111
Pm 0.889 0.889 0.889
Tm 0.000 0.000 0.000
Ir 0.500 0.500 0.500



Question: which arrangement is favored energetically? Ranking from most to least stable: #i, #ii.



#i
A relaxed structure of PmTm3Ir. Source: Alexandria via LeMat-Bulk, functional PBE.

Calculated values
- size of the total moment (μB/f.u.) = 0.000
- crystal system = cubic

Unit cell a=5.378 b=5.378 c=5.378 alpha=90.00 beta=90.00 gamma=90.00
Fractional coordinates of all 5 atoms:
Pm 0.000 0.000 0.000
Tm 0.000 0.500 0.500
Tm 0.500 0.000 0.500
Tm 0.500 0.500 0.000
Ir 0.500 0.500 0.500



#ii
A relaxed structure of PmTm3Ir. Source: Alexandria via LeMat-Bulk, functional PBE.

Calculated values
- size of the total moment (μB/f.u.) = 0.000
- crystal system = orthorhombic

Unit cell a=7.539 b=6.516 c=6.154 alpha=90.00 beta=90.00 gamma=90.00
Fractional coordinates of all 10 atoms:
Pm 0.000 0.147 0.000
Pm 0.500 0.853 0.500
Tm 0.000 0.847 0.491
Tm 0.249 0.317 0.498
Tm 0.251 0.683 0.998
Tm 0.500 0.153 0.991
Tm 0.749 0.683 0.998
Tm 0.751 0.317 0.498
Ir 0.000 0.508 0.744
Ir 0.500 0.492 0.244



Question: which arrangement is favored energetically? Ranking from most to least stable: #ii, #i.



#i
A relaxed structure of Pm3YIr3. Source: Alexandria via LeMat-Bulk, functional PBE.

Calculated values
- size of the total moment (μB/f.u.) = 0.000
- crystal system = trigonal

Unit cell a=6.031 b=6.031 c=6.031 alpha=109.27 beta=109.27 gamma=109.27
Fractional coordinates of all 7 atoms:
Pm 0.000 0.500 0.500
Pm 0.500 0.000 0.500
Pm 0.500 0.500 0.000
Y 0.000 0.000 0.000
Ir 0.000 0.000 0.500
Ir 0.000 0.500 0.000
Ir 0.500 0.000 0.000



#ii
A relaxed structure of Pm3YIr3. Source: Alexandria via LeMat-Bulk, functional PBE.

Calculated values
- size of the total moment (μB/f.u.) = 0.000
- crystal system = monoclinic

Unit cell a=7.246 b=7.246 c=6.809 alpha=98.40 beta=98.40 gamma=84.07
Fractional coordinates of all 14 atoms:
Pm 0.190 0.810 0.000
Pm 0.272 0.728 0.500
Pm 0.299 0.299 0.993
Pm 0.701 0.701 0.007
Pm 0.728 0.272 0.500
Pm 0.810 0.190 0.000
Y 0.218 0.218 0.453
Y 0.782 0.782 0.547
Ir 0.003 0.504 0.249
Ir 0.053 0.053 0.713
Ir 0.496 0.997 0.751
Ir 0.504 0.003 0.249
Ir 0.947 0.947 0.287
Ir 0.997 0.496 0.751



Question: which arrangement is favored energetically? Ranking from most to least stable: #i, #ii.